Entry 1:
DFT (PBE) results for an optimized crystal structure of CsTmH3.

Properties
- DOS(E_F): 0.814 states/eV per cell
- Uncorrected energy: -16.36 eV/f.u.

Structure (CIF):
```
data_CsTmH3
_chemical_formula_sum 'Cs1 Tm1 H3'
_symmetry_space_group_name_H-M 'P m -3 m'
_symmetry_Int_Tables_number 221
_symmetry_space_group_name_Hall '-P 4 2 3'
_cell_length_a 4.4379
_cell_length_b 4.4379
_cell_length_c 4.4379
_cell_angle_alpha 90.00
_cell_angle_beta 90.00
_cell_angle_gamma 90.00
loop_
_atom_site_label
_atom_site_fract_x
_atom_site_fract_y
_atom_site_fract_z
Cs1 0.0000 0.0000 0.0000
Tm1 0.5000 0.5000 0.5000
H1 0.0000 0.5000 0.5000
```

***

Entry 2:
DFT (PBE) results for an optimized crystal structure of Cs2UH4.

Properties
- DOS(E_F): 15.979 states/eV per cell
- Uncorrected energy: -25.57 eV/f.u.

Structure (CIF):
```
data_Cs2UH4
_chemical_formula_sum 'Cs4 U2 H8'
_symmetry_space_group_name_H-M 'I 4/m m m'
_symmetry_Int_Tables_number 139
_symmetry_space_group_name_Hall '-I 4 2'
_cell_length_a 4.4915
_cell_length_b 4.4915
_cell_length_c 16.0711
_cell_angle_alpha 90.00
_cell_angle_beta 90.00
_cell_angle_gamma 90.00
loop_
_atom_site_label
_atom_site_fract_x
_atom_site_fract_y
_atom_site_fract_z
Cs1 0.0000 0.0000 0.1563
U1 0.0000 0.0000 0.5000
H1 0.0000 0.0000 0.3563
H2 0.0000 0.5000 0.0000
```

***

> Look up the DOS(E_F) of the first one.

0.814 states/eV per cell

***

> Look up the DOS(E_F) of the first one.

0.814 states/eV per cell